Record 1
A plane-wave DFT calculation with GGA-PBE was carried out for a geometry-optimized Tl2AgSb structure.

Computed properties:
Space group ... R-3m, No. 166
Formation energy without anion corrections ... 0.173 eV per atom
Polymorph energy (0 for the lowest one) ... 0.1674 eV per atom

Cell lengths 10.477, 10.477, 10.477 Å; angles 18.98, 18.98, 18.98 degrees
Positions (direct):
Tl 0.993 0.993 0.993
Tl 0.507 0.507 0.507
Ag 0.250 0.250 0.250
Sb 0.750 0.750 0.750

Record 2
A plane-wave DFT calculation with GGA-PBE was carried out for a geometry-optimized SrNd2In structure.

Computed properties:
Energy of formation ... 0.18 eV/f.u.
Space group ... R-3m, No. 166
Polymorph energy (0 for the lowest one) ... 0.1994 eV per atom

Cell lengths 3.774, 3.774, 12.497 Å; angles 81.32, 81.32, 60.00 degrees
Positions (direct):
In 0.500 0.500 0.500
Sr 0.000 0.000 0.000
Nd 0.100 0.100 0.699
Nd 0.900 0.900 0.301